A relaxed structure of Ho3S3N, computed with GGA-PBE.

Results
Raw total energy ... -6.91 eV/atom
ρ ... 6.88 g/cm³
Formation energy from raw total energies ... -14.0 eV/f.u.
Total magnetic moment ... 0.0 Bohr magnetons per cell

Cell: 11.9058 3.8002 12.9122 Å, 90.00 90.00 90.00°
Closest atoms and distances in Å follow each position.
Space group Pnma (No. 62)
Inequivalent atoms, fractional coordinates:
Ho 0.0492 0.2500 0.1410  2 N 2.27
Ho 0.0624 0.2500 0.6333  1 N 2.16
Ho 0.2094 0.2500 0.8580  1 N 2.25
S 0.0956 0.2500 0.4030  3 Ho 2.71-3.00
S 0.1326 0.7500 0.9895  5 Ho 2.71-2.90
S 0.2231 0.7500 0.6915  5 Ho 2.79-2.87
N 0.0319 0.2500 0.7986  4 Ho 2.16-2.27

A relaxed structure of Y4TaAu, computed with GGA-PBE.

Results
Density of states at the Fermi level ... 24.28 states/eV per cell
Raw total energy ... -6.14 eV/atom
ρ ... 7.70 g/cm³
Total magnetic moment ... 6.6 Bohr magnetons per cell
Energy of formation from the pure elements ... 0.6871 eV per atom

Cell: 8.5833 8.5833 8.5833 Å, 90.00 90.00 90.00°
Closest atoms and distances in Å follow each position.
Space group F-43m (No. 216)
Inequivalent atoms, fractional coordinates:
Y 0.1255 0.1255 0.1255  6 Y 3.02-3.05
Ta 0.0000 0.0000 0.5000  12 Y 3.56, 4 Au 3.72
Au 0.2500 0.2500 0.7500  12 Y 3.56, 4 Ta 3.72

A relaxed structure of Pm4PSe2I, computed with GGA-PBE.

Results
Density of states at the Fermi level ... 3.48 states/eV per cell
Raw total energy ... -5.65 eV/atom
ρ ... 6.76 g/cm³
Formation energy from raw total energies ... -12.3 eV/f.u.
Total magnetic moment ... 0.0 Bohr magnetons per cell

Cell: 7.2780 4.2298 7.5638 Å, 90.00 109.07 90.00°
Closest atoms and distances in Å follow each position.
Space group P2/m (No. 10)
Inequivalent atoms, fractional coordinates:
Pm 0.2340 0.0000 0.2070  2 Se 2.84, 1 P 2.86
Pm 0.2581 0.5000 0.7850  3 Se 2.86-3.16, 2 P 2.89, 1 I 3.20
P 0.5000 0.0000 0.0000  6 Pm 2.86-2.89
Se 0.0000 0.0000 0.5000  6 Pm 3.16-3.21
Se 0.0000 0.5000 0.0000  6 Pm 2.84-2.86
I 0.5000 0.5000 0.5000  6 Pm 3.20-3.21

A relaxed structure of SbMo2Pt, computed with GGA-PBE.

Results
Density of states at the Fermi level ... 3.15 states/eV per cell
Raw total energy ... -7.83 eV/atom
ρ ... 12.34 g/cm³
Formation energy from raw total energies ... 0.5 eV/f.u.
Total magnetic moment ... 0.0 Bohr magnetons per cell

Cell: 2.9014 4.3251 5.6376 Å, 90.00 104.70 90.00°
Closest atoms and distances in Å follow each position.
Space group Pm (No. 6)
Inequivalent atoms, fractional coordinates:
Sb 0.0000 0.0000 0.0000  2 Pt 2.64, 5 Mo 2.71-2.90, 2 Sb 2.90
Mo 0.2528 0.0000 0.4963  1 Sb 2.71, 4 Pt 2.88, 6 Mo 2.90-2.99
Mo 0.6139 0.5000 0.2336  1 Pt 2.66, 4 Sb 2.90, 4 Mo 2.90-2.96
Pt 0.8627 0.5000 0.7209  2 Sb 2.64, 5 Mo 2.66-2.88, 2 Pt 2.90

A relaxed structure of Tm12Ga6Co, computed with GGA-PBE.

Results
Density of states at the Fermi level ... 57.24 states/eV per cell
Raw total energy ... -4.36 eV/atom
ρ ... 7.85 g/cm³
Total magnetic moment ... 0.0 Bohr magnetons per cell
Energy of formation from the pure elements ... -0.2042 eV per atom

Cell: 12.5149 12.5149 11.7211 Å, 90.00 90.00 120.00°
Closest atoms and distances in Å follow each position.
Space group R-3 (No. 148, hexagonal axes)
Inequivalent atoms, fractional coordinates:
Tm 0.0363 0.2116 0.3945  4 Ga 2.84-3.03
Tm 0.0478 0.1962 0.8845  1 Co 2.60
Ga 0.0515 0.2709 0.6466  7 Tm 2.84-3.17
Co 0.0000 0.0000 0.0000  6 Tm 2.60

A relaxed structure of BaDy3Co, computed with GGA-PBE.

Results
Density of states at the Fermi level ... 6.69 states/eV per cell
Raw total energy ... -4.56 eV/atom
ρ ... 7.07 g/cm³
Total magnetic moment ... 0.0 Bohr magnetons per cell
Energy of formation from the pure elements ... 0.0085 eV per atom

Cell: 5.4354 5.4354 5.4354 Å, 90.00 90.00 90.00°
Closest atoms and distances in Å follow each position.
Space group Pm-3m (No. 221)
Inequivalent atoms, fractional coordinates:
Ba 0.0000 0.0000 0.0000  12 Dy 3.84
Dy 0.0000 0.5000 0.5000  2 Co 2.72
Co 0.5000 0.5000 0.5000  6 Dy 2.72

A relaxed structure of LaSc2Sb, computed with GGA-PBE.

Results
Density of states at the Fermi level ... 6.42 states/eV per cell
Raw total energy ... -5.90 eV/atom
ρ ... 5.70 g/cm³
Formation energy from raw total energies ... -1.9 eV/f.u.
Total magnetic moment ... 0.0 Bohr magnetons per cell

Cell: 4.7443 4.7443 4.5375 Å, 90.00 90.00 90.00°
Closest atoms and distances in Å follow each position.
Space group P4/mmm (No. 123)
Inequivalent atoms, fractional coordinates:
La 0.0000 0.0000 0.0000  8 Sc 3.28, 4 Sb 3.35
Sc 0.0000 0.5000 0.5000  4 La 3.28, 4 Sb 3.28, 4 Sc 3.35
Sb 0.5000 0.5000 0.0000  8 Sc 3.28, 4 La 3.35

A relaxed structure of InPd4Au3, computed with GGA-PBE.

Results
Density of states at the Fermi level ... 2.02 states/eV per cell
Energy relative to the lowest polymorph listed for this composition ... 0.0000 eV/atom
Raw total energy ... -4.44 eV/atom
ρ ... 13.91 g/cm³
Total magnetic moment ... 0.0 Bohr magnetons per cell
Energy of formation from the pure elements ... -0.2745 eV per atom

Cell: 4.2636 4.2636 14.8644 Å, 90.00 90.00 90.00°
Closest atoms and distances in Å follow each position.
Space group I4/mmm (No. 139)
Inequivalent atoms, fractional coordinates:
In 0.0000 0.0000 0.0000  8 Pd 2.82, 4 Au 3.01
Pd 0.0000 0.5000 0.1239  2 In 2.82, 6 Au 2.82-2.84, 4 Pd 3.01
Au 0.0000 0.0000 0.2506  8 Pd 2.83-2.84, 4 Au 3.01
Au 0.0000 0.0000 0.5000  8 Pd 2.82, 4 In 3.01

A relaxed structure of AcPm5Er3, computed with GGA-PBE.

Results
Density of states at the Fermi level ... 52.19 states/eV per cell
Raw total energy ... -4.54 eV/atom
ρ ... 7.87 g/cm³
Total magnetic moment ... 0.0 Bohr magnetons per cell
Energy of formation from the pure elements ... 0.0737 eV per atom

Cell: 9.1579 9.9797 13.5313 Å, 90.00 97.03 90.00°
Closest atoms and distances in Å follow each position.
Space group C2/c (No. 15)
Inequivalent atoms, fractional coordinates:
Ac 0.0000 0.1510 0.2500  5 Pm 3.38-3.62, 4 Er 3.70-3.74
Pm 0.0000 0.1879 0.7500  2 Pm 3.14, 1 Ac 3.38
Pm 0.1623 0.3167 0.5816  3 Pm 3.14-3.31
Pm 0.1722 0.3518 0.0791  4 Pm 3.31-3.58, 1 Ac 3.57, 2 Er 3.62-3.63
Er 0.0000 0.0000 0.0000  2 Er 3.58, 10 Pm 3.61-3.94, 2 Ac 3.70
Er 0.1638 0.4980 0.3341  2 Er 3.54-3.58, 10 Pm 3.60-3.96, 2 Ac 3.74-3.89

A relaxed structure of TbCdPt, computed with GGA-PBE.

Results
Density of states at the Fermi level ... 1.84 states/eV per cell
Raw total energy ... -4.24 eV/atom
ρ ... 8.51 g/cm³
Total magnetic moment ... 0.0 Bohr magnetons per cell
Energy of formation from the pure elements ... -0.3758 eV per atom

Cell: 3.5717 3.5717 14.2739 Å, 90.00 90.00 90.00°
Closest atoms and distances in Å follow each position.
Space group I4mm (No. 107)
Inequivalent atoms, fractional coordinates:
Tb 0.0000 0.0000 0.0000  4 Pt 2.80
Cd 0.0000 0.0000 0.7740  1 Pt 2.71
Pt 0.0000 0.0000 0.5845  1 Cd 2.71, 4 Tb 2.80

A relaxed structure of BaSrVN3, computed with GGA-PBE.

Results
Density of states at the Fermi level ... 6.71 states/eV per cell
Raw total energy ... -6.84 eV/atom
ρ ... 5.05 g/cm³
Formation energy from raw total energies ... -3.3 eV/f.u.
Total magnetic moment ... 4.0 Bohr magnetons per cell

Cell: 13.8342 3.9660 7.9613 Å, 90.00 106.76 90.00°
Closest atoms and distances in Å follow each position.
Space group C2/m (No. 12)
Inequivalent atoms, fractional coordinates:
Ba 0.1415 0.0000 0.0697  7 N 2.83-3.05
Sr 0.1567 0.0000 0.5792  7 N 2.61-2.81
V 0.0001 0.5000 0.3032  4 N 1.87-1.98
N 0.0002 0.0000 0.3017  2 V 1.98
N 0.1382 0.5000 0.3222  1 V 1.87
N 0.1380 0.5000 0.8151  1 V 1.87